Computed, not measured: a geometry-optimized RbTiB structure at the PBE level of DFT.

```
6
Lattice="-4.0487 0.5021 -0.9146 -2.6874 -12.5682 -0.0673 -1.7790 0.4825 2.5945" Properties=species:S:1:pos:R:3 pbc="T T T"
Ti -5.8641 -3.3256 1.6530
Rb -1.9881 -0.9967 -0.0300
B -2.3889 -4.6062 0.3682
Rb -7.6327 -8.3851 1.3794
Ti -4.7088 -5.6180 0.9183
B -3.6259 -3.7734 1.3176
```

- Energy above the most stable polymorph in this dataset: 76 meV per atom
- Space group: P1 (1)
- Uncorrected energy: -14.79 eV/f.u.
- Energy relative to the elements: 0.2485 eV per atom